Entry from Alexandria via LeMat-Bulk: a PBEsol-optimized structure of Ba2RhCl (SCAN).

The structure in POSCAR format:
```
Ba2RhCl
1.0
-3.304 0.003 -2.972
-4.205 -0.488 1.352
-3.146 7.382 0.182
Ba Rh Cl
2 1 1
Direct
0.240 0.240 0.279
0.760 0.760 0.721
0.500 0.500 0.500
0.000 0.000 0.000
```

Calculated values
As for the uncorrected formation energy: -1.15 eV/atom. The calculation puts the magnetic moment at 0.0 μB/cell. As for the total DFT energy (no corrections): -125.44 eV per cell. The symmetry is R-3m. As for the volume: 32.52 Å³ per atom. As for the energy above the most stable polymorph in this dataset: 0.00 eV per formula unit.